PBE PuPaNiRh, relaxed; Fermi-level density of states = 3.86 states/eV per cell; formation energy from the elements = -50.3 kJ per mole of atoms
1.0
0.000 3.258 3.258
3.258 0.000 3.258
3.258 3.258 0.000
Pu Pa Ni Rh
1 1 1 1
Cartesian
0.000 0.000 0.000
1.629 1.629 1.629
4.886 4.886 4.886
3.258 3.258 3.258